Below is a relaxed LaDy4Al4 crystal, with properties calculated at the GGA-PBE level.

Values from the calculation:
Raw total energy in eV per atom: -4.422
ΔH_f (0 K) in eV per atom: -0.17

The structure in CIF format:
```
data_LaDy4Al4
_cell_length_a 7.3361
_cell_length_b 7.3361
_cell_length_c 7.3361
_cell_angle_alpha 97.38
_cell_angle_beta 97.38
_cell_angle_gamma 138.00
_symmetry_space_group_name_H-M 'P 1'
_symmetry_Int_Tables_number 1
loop_
_symmetry_equiv_pos_as_xyz
'x,y,z'
loop_
_atom_site_label
_atom_site_type_symbol
_atom_site_fract_x
_atom_site_fract_y
_atom_site_fract_z
La1 La 0.0000 0.0000 0.0000
Dy1 Dy 0.1033 0.6487 0.7520
Dy2 Dy 0.3513 0.1033 0.4545
Dy3 Dy 0.6487 0.8967 0.5455
Dy4 Dy 0.8967 0.3513 0.2480
Al1 Al 0.3186 0.4202 0.7389
Al2 Al 0.4202 0.6814 0.1016
Al3 Al 0.5798 0.3186 0.8984
Al4 Al 0.6814 0.5798 0.2611
```

Below is a relaxed LaDy7Al4 crystal, with properties calculated at the GGA-PBE level.

Values from the calculation:
Raw total energy in eV per atom: -4.403
ΔH_f (0 K) in eV per atom: -0.06

The structure in CIF format:
```
data_LaDy7Al4
_cell_length_a 7.4675
_cell_length_b 7.4675
_cell_length_c 10.4647
_cell_angle_alpha 121.74
_cell_angle_beta 121.74
_cell_angle_gamma 43.42
_symmetry_space_group_name_H-M 'P 1'
_symmetry_Int_Tables_number 1
loop_
_symmetry_equiv_pos_as_xyz
'x,y,z'
loop_
_atom_site_label
_atom_site_type_symbol
_atom_site_fract_x
_atom_site_fract_y
_atom_site_fract_z
La1 La 0.0000 0.0000 0.0000
Dy1 Dy 0.0662 0.0662 0.3908
Dy2 Dy 0.2118 0.2118 0.8766
Dy3 Dy 0.2998 0.2998 0.3583
Dy4 Dy 0.5000 0.5000 0.0000
Dy5 Dy 0.7002 0.7002 0.6417
Dy6 Dy 0.7882 0.7882 0.1234
Dy7 Dy 0.9338 0.9338 0.6092
Al1 Al 0.3230 0.3230 0.6692
Al2 Al 0.4458 0.4458 0.2365
Al3 Al 0.5542 0.5542 0.7635
Al4 Al 0.6770 0.6770 0.3308
```

Below is a relaxed La12Dy5Al3 crystal, with properties calculated at the GGA-PBE level.

Values from the calculation:
Raw total energy in eV per atom: -3.986
ΔH_f (0 K) in eV per atom: 0.68

The structure in CIF format:
```
data_La12Dy5Al3
_cell_length_a 15.8781
_cell_length_b 15.8781
_cell_length_c 15.8781
_cell_angle_alpha 109.47
_cell_angle_beta 109.47
_cell_angle_gamma 109.47
_symmetry_space_group_name_H-M 'P 1'
_symmetry_Int_Tables_number 1
loop_
_symmetry_equiv_pos_as_xyz
'x,y,z'
loop_
_atom_site_label
_atom_site_type_symbol
_atom_site_fract_x
_atom_site_fract_y
_atom_site_fract_z
La1 La 0.0692 0.2365 0.1434
La2 La 0.0692 0.3327 0.9258
La3 La 0.0742 0.6434 0.4069
La4 La 0.0742 0.9308 0.6673
La5 La 0.0931 0.7365 0.6673
La6 La 0.0931 0.8566 0.4258
La7 La 0.1434 0.0692 0.2365
La8 La 0.1434 0.5742 0.9069
La9 La 0.1673 0.2365 0.5931
La10 La 0.1673 0.4308 0.5742
La11 La 0.2365 0.1434 0.0692
La12 La 0.2365 0.5931 0.1673
La13 La 0.2635 0.3327 0.9069
La14 La 0.2635 0.4308 0.3566
La15 La 0.3327 0.9069 0.2635
La16 La 0.3327 0.9258 0.0692
La17 La 0.3566 0.2635 0.4308
La18 La 0.3566 0.5931 0.9258
La19 La 0.4069 0.0742 0.6434
La20 La 0.4069 0.8327 0.7635
La21 La 0.4258 0.0931 0.8566
La22 La 0.4258 0.8327 0.5692
La23 La 0.4308 0.3566 0.2635
La24 La 0.4308 0.5742 0.1673
La25 La 0.5692 0.4258 0.8327
La26 La 0.5692 0.6434 0.7365
La27 La 0.5742 0.1673 0.4308
La28 La 0.5742 0.9069 0.1434
La29 La 0.5931 0.1673 0.2365
La30 La 0.5931 0.9258 0.3566
La31 La 0.6434 0.4069 0.0742
La32 La 0.6434 0.7365 0.5692
La33 La 0.6673 0.0742 0.9308
La34 La 0.6673 0.0931 0.7365
La35 La 0.7365 0.5692 0.6434
La36 La 0.7365 0.6673 0.0931
La37 La 0.7635 0.4069 0.8327
La38 La 0.7635 0.8566 0.9308
La39 La 0.8327 0.5692 0.4258
La40 La 0.8327 0.7635 0.4069
La41 La 0.8566 0.4258 0.0931
La42 La 0.8566 0.9308 0.7635
La43 La 0.9069 0.1434 0.5742
La44 La 0.9069 0.2635 0.3327
La45 La 0.9258 0.0692 0.3327
La46 La 0.9258 0.3566 0.5931
La47 La 0.9308 0.6673 0.0742
La48 La 0.9308 0.7635 0.8566
Dy1 Dy 0.0000 0.0000 0.0000
Dy2 Dy 0.0000 0.0000 0.5000
Dy3 Dy 0.0000 0.5000 0.0000
Dy4 Dy 0.0000 0.5000 0.5000
Dy5 Dy 0.1250 0.7500 0.8750
Dy6 Dy 0.1250 0.8750 0.2500
Dy7 Dy 0.2500 0.1250 0.8750
Dy8 Dy 0.2500 0.6250 0.3750
Dy9 Dy 0.3750 0.2500 0.6250
Dy10 Dy 0.3750 0.6250 0.7500
Dy11 Dy 0.5000 0.0000 0.0000
Dy12 Dy 0.5000 0.0000 0.5000
Dy13 Dy 0.5000 0.5000 0.0000
Dy14 Dy 0.5000 0.5000 0.5000
Dy15 Dy 0.6250 0.3750 0.2500
Dy16 Dy 0.6250 0.7500 0.3750
Dy17 Dy 0.7500 0.3750 0.6250
Dy18 Dy 0.7500 0.8750 0.1250
Dy19 Dy 0.8750 0.1250 0.7500
Dy20 Dy 0.8750 0.2500 0.1250
Al1 Al 0.1250 0.2500 0.3750
Al2 Al 0.1250 0.3750 0.7500
Al3 Al 0.2500 0.3750 0.1250
Al4 Al 0.2500 0.8750 0.6250
Al5 Al 0.3750 0.1250 0.2500
Al6 Al 0.3750 0.7500 0.1250
Al7 Al 0.6250 0.2500 0.8750
Al8 Al 0.6250 0.8750 0.7500
Al9 Al 0.7500 0.1250 0.3750
Al10 Al 0.7500 0.6250 0.8750
Al11 Al 0.8750 0.6250 0.2500
Al12 Al 0.8750 0.7500 0.6250
```